1.
KNpInBr6: optimized geometry, PBE.

## Properties
As for the total magnetic moment: 0.333 μB/atom. The density of states at the Fermi level is 8.62 states/eV per cell. Its uncorrected formation energy is -1250 meV/atom. The calculation puts the total energy at -76.12 eV per cell.

a = 8.0115 Å, b = 8.0115 Å, c = 13.1552 Å
α = 90.00°, β = 90.00°, γ = 120.00°
Last column: nearest neighbours and their distance in Å.
Positions (direct):
In1 0.0000 0.0000 0.0000  6 Br 3.32
In2 0.0000 0.0000 0.5000  6 Br 3.32
Br1 0.3294 0.9491 0.6281  1 Np 2.79
Br2 0.3294 0.3803 0.8719  1 Np 2.79
Br3 0.3803 0.0509 0.1281  1 Np 2.79
Br4 0.6706 0.0509 0.3719  1 Np 2.79
Br5 0.3803 0.3294 0.3719  1 Np 2.79
Br6 0.6197 0.9491 0.8719  1 Np 2.79
Br7 0.0510 0.6706 0.8719  1 Np 2.79
Br8 0.9490 0.6197 0.3719  1 Np 2.79
Br9 0.6706 0.6197 0.1281  1 Np 2.79
Br10 0.6197 0.6706 0.6281  1 Np 2.79
Br11 0.9490 0.3294 0.1281  1 Np 2.79
Br12 0.0510 0.3803 0.6281  1 Np 2.79
K1 0.6667 0.3333 0.7500  6 Br 3.32
K2 0.3333 0.6667 0.2500  6 Br 3.32
Np1 0.3333 0.6667 0.7500  6 Br 2.79
Np2 0.6667 0.3333 0.2500  6 Br 2.79

=====

2.
UMn2Ag2S6: optimized geometry, PBE.

## Properties
As for the total magnetic moment: 0.911 μB/atom. The density of states at the Fermi level is 6.87 states/eV per cell. Its uncorrected formation energy is -653 meV/atom. The calculation puts the total energy at -67.28 eV per cell.

a = 6.3542 Å, b = 6.3542 Å, c = 6.5628 Å
α = 96.24°, β = 96.24°, γ = 118.68°
Last column: nearest neighbours and their distance in Å.
Positions (direct):
Mn1 0.6675 0.3325 0.5000  6 S 2.46-2.61
Mn2 0.3325 0.6675 0.5000  6 S 2.46-2.61
Ag1 0.8651 0.1349 0.0000  2 S 2.54
Ag2 0.1349 0.8651 0.0000  2 S 2.54
S1 0.6102 0.9657 0.2767  2 Mn 2.46-2.61, 1 Ag 2.54, 1 U 2.64
S2 0.3076 0.3076 0.2882  2 Mn 2.47, 1 U 2.66
S3 0.9657 0.6102 0.2767  2 Mn 2.46-2.61, 1 Ag 2.54, 1 U 2.64
S4 0.3898 0.0343 0.7233  2 Mn 2.46-2.61, 1 Ag 2.54, 1 U 2.64
S5 0.6924 0.6924 0.7118  2 Mn 2.47, 1 U 2.66
S6 0.0343 0.3898 0.7233  2 Mn 2.46-2.61, 1 Ag 2.54, 1 U 2.64
U1 0.0000 0.0000 0.5000  6 S 2.64-2.66

=====

What did the second record say?
UMn2Ag2S6: optimized geometry, PBE.

## Properties
As for the total magnetic moment: 0.911 μB/atom. The density of states at the Fermi level is 6.87 states/eV per cell. Its uncorrected formation energy is -653 meV/atom. The calculation puts the total energy at -67.28 eV per cell.

a = 6.3542 Å, b = 6.3542 Å, c = 6.5628 Å
α = 96.24°, β = 96.24°, γ = 118.68°
Last column: nearest neighbours and their distance in Å.
Positions (direct):
Mn1 0.6675 0.3325 0.5000  6 S 2.46-2.61
Mn2 0.3325 0.6675 0.5000  6 S 2.46-2.61
Ag1 0.8651 0.1349 0.0000  2 S 2.54
Ag2 0.1349 0.8651 0.0000  2 S 2.54
S1 0.6102 0.9657 0.2767  2 Mn 2.46-2.61, 1 Ag 2.54, 1 U 2.64
S2 0.3076 0.3076 0.2882  2 Mn 2.47, 1 U 2.66
S3 0.9657 0.6102 0.2767  2 Mn 2.46-2.61, 1 Ag 2.54, 1 U 2.64
S4 0.3898 0.0343 0.7233  2 Mn 2.46-2.61, 1 Ag 2.54, 1 U 2.64
S5 0.6924 0.6924 0.7118  2 Mn 2.47, 1 U 2.66
S6 0.0343 0.3898 0.7233  2 Mn 2.46-2.61, 1 Ag 2.54, 1 U 2.64
U1 0.0000 0.0000 0.5000  6 S 2.64-2.66

=====

The lowest total magnetic moment belongs to which entry?
KNpInBr6